(a)
# La2SmY7, relaxed, DFT GGA-PBE
data_La2SmY7
_chemical_formula_sum 'La2 Sm1 Y7'
_cell_length_a 6.254
_cell_length_b 7.220
_cell_length_c 8.077
_cell_angle_alpha 77.30
_cell_angle_beta 75.06
_cell_angle_gamma 73.56
_space_group_name_H-M_alt 'P -1'
_space_group_IT_number 2
loop_
_space_group_symop_operation_xyz
'x,y,z'
'-x,-y,-z'
loop_
_atom_site_label
_atom_site_type_symbol
_atom_site_fract_x
_atom_site_fract_y
_atom_site_fract_z
_atom_site_occupancy
La1 La 0.197 0.299 0.102 1
Sm1 Sm 0.000 0.000 0.500 1
Y1 Y 0.000 0.500 0.500 1
Y2 Y 0.199 0.800 0.103 1
Y3 Y 0.399 0.601 0.698 1
Y4 Y 0.400 0.101 0.697 1
# **V**: 333.7 Å³/f.u.

---

(b)
# La2SmY7, relaxed, DFT GGA-PBE
data_La2SmY7
_chemical_formula_sum 'La4 Sm2 Y14'
_cell_length_a 6.628
_cell_length_b 29.256
_cell_length_c 3.532
_cell_angle_alpha 90.00
_cell_angle_beta 90.00
_cell_angle_gamma 90.00
_space_group_name_H-M_alt 'C m m m'
_space_group_IT_number 65
_space_group_name_Hall '-C 2 2'
loop_
_atom_site_label
_atom_site_type_symbol
_atom_site_fract_x
_atom_site_fract_y
_atom_site_fract_z
_atom_site_occupancy
La1 La 0.000 0.205 0.000 1
Sm1 Sm 0.000 0.500 0.500 1
Y1 Y 0.000 0.000 0.000 1
Y2 Y 0.000 0.315 0.500 1
Y3 Y 0.245 0.402 0.000 1
# **V**: 342.4 Å³/f.u.

---

Least stable = (b)